Record 1
DFT (PBE) results for an optimized crystal structure of MgW2Se.

```
MgW2Se
1.0
3.2984 0.0000 0.0000
0.0000 3.4704 0.0018
0.0000 1.7267 6.2297
Mg Se W
1 1 2
direct
0.0000 0.5537 0.5165 Mg
0.5000 0.9636 0.6983 Se
0.0000 0.7906 0.0458 W
0.5000 0.1920 0.2393 W
```

Summary:
- spin magnetization (μB/f.u.) = 0.00
- excess energy over the best structure of this formula in the dataset (meV/atom) = 0
- calculated density (Mg/m³) = 11.0


Record 2
DFT (PBE) results for an optimized crystal structure of MgW2Se.

```
MgW2Se
1.0
9.0540 0.0014 0.0008
8.5651 2.9350 0.0008
8.5651 1.4275 2.5644
Mg Se W
1 1 2
direct
0.2500 0.2500 0.2500 Mg
0.7500 0.7500 0.7500 Se
0.0083 0.0083 0.0083 W
0.4917 0.4917 0.4917 W
```

Summary:
- spin magnetization (μB/f.u.) = 0.00
- excess energy over the best structure of this formula in the dataset (meV/atom) = 334
- calculated density (Mg/m³) = 11.5


Record 3
DFT (PBE) results for an optimized crystal structure of MgWSe2.

```
MgWSe2
1.0
6.0719 0.0000 0.0000
0.0000 6.0719 0.0000
3.0359 3.0359 5.3872
Mg Se W
2 4 2
direct
0.5000 0.5000 0.0000 Mg
0.2500 0.7500 0.5000 Mg
0.6392 0.1250 0.2500 Se
0.1108 0.6250 0.2500 Se
0.3750 0.3608 0.7500 Se
0.8750 0.8892 0.7500 Se
0.0000 0.0000 0.0000 W
0.7500 0.2500 0.5000 W
```

Summary:
- energy (eV for the cell shown) = -42.3
- spin magnetization (μB/f.u.) = 1.10
- calculated density (Mg/m³) = 6.1


Record 4
DFT (PBE) results for an optimized crystal structure of Mg2WSe.

```
Mg2WSe
1.0
4.6838 0.0000 0.0000
2.3419 4.0563 0.0000
2.3419 1.3521 3.8243
Mg Se W
2 1 1
direct
0.0000 0.0000 0.0000 Mg
0.2500 0.2500 0.2500 Mg
0.5000 0.5000 0.5000 Se
0.7500 0.7500 0.7500 W
```

Summary:
- energy (eV for the cell shown) = -17.1
- spin magnetization (μB/f.u.) = 1.00
- calculated density (Mg/m³) = 7.1


Record 5
DFT (PBE) results for an optimized crystal structure of Mg2WSe.

```
Mg2WSe
1.0
-1.7337 0.4029 2.6363
-3.5043 -2.4167 -1.9351
1.8179 -4.0945 1.8213
Mg Se W
2 1 1
direct
0.0000 0.0000 0.0000 Mg
0.5000 0.5000 0.0000 Mg
0.5000 0.0000 0.5000 Se
0.0000 0.5000 0.5000 W
```

Summary:
- energy (eV for the cell shown) = -17.7
- spin magnetization (μB/f.u.) = 0.00
- calculated density (Mg/m³) = 7.2


Record 6
DFT (PBE) results for an optimized crystal structure of MgWSe2.

```
MgWSe2
1.0
3.4871 0.0051 0.0000
-1.8861 2.9330 0.0000
0.0000 0.0000 7.9243
Mg Se W
1 2 1
direct
0.5000 0.5000 0.7500 Mg
0.0000 0.0000 0.0087 Se
0.0000 0.0000 0.4913 Se
0.5000 0.5000 0.2500 W
```

Summary:
- energy (eV for the cell shown) = -20.5
- spin magnetization (μB/f.u.) = 0.40
- calculated density (Mg/m³) = 7.5


Record 7
DFT (PBE) results for an optimized crystal structure of Mg2WSe.

```
Mg2WSe
1.0
5.8588 0.2864 0.3845
4.8655 3.2764 0.3845
1.7139 0.5694 4.5444
Mg Se W
2 1 1
direct
0.9692 0.9692 0.0307 Mg
0.7722 0.7722 0.7278 Mg
0.5359 0.5359 0.4642 Se
0.2226 0.2226 0.2773 W
```

Summary:
- energy (eV for the cell shown) = -19.0
- spin magnetization (μB/f.u.) = 0.00
- calculated density (Mg/m³) = 6.6


Record 8
DFT (PBE) results for an optimized crystal structure of MgWSe2.

```
MgWSe2
1.0
4.6635 -0.0006 0.0141
3.5404 3.0354 0.0141
2.3695 0.8765 5.8114
Mg Se W
1 2 1
direct
0.8099 0.8099 0.7706 Mg
0.0214 0.0214 0.0019 Se
0.1811 0.1811 0.3908 Se
0.4875 0.4875 0.3366 W
```

Summary:
- energy (eV for the cell shown) = -22.4
- spin magnetization (μB/f.u.) = 0.00
- calculated density (Mg/m³) = 7.4


Record 9
DFT (PBE) results for an optimized crystal structure of MgWSe3.

```
MgWSe3
1.0
4.9733 0.0000 0.0000
0.0000 4.9733 0.0000
0.0000 0.0000 4.9733
Mg Se W
1 3 1
direct
0.5000 0.5000 0.5000 Mg
0.0000 0.5000 0.0000 Se
0.0000 0.0000 0.5000 Se
0.5000 0.0000 0.0000 Se
0.0000 0.0000 0.0000 W
```

Summary:
- spin magnetization (μB/f.u.) = 0.00
- excess energy over the best structure of this formula in the dataset (meV/atom) = 0
- calculated density (Mg/m³) = 6.0


Record 10
DFT (PBE) results for an optimized crystal structure of MgWSe2.

```
MgWSe2
1.0
-3.3968 1.3571 5.9301
-5.5749 -3.0753 2.8299
6.4822 -0.2139 -2.5459
Mg Se W
1 2 1
direct
0.7500 0.2500 0.5000 Mg
0.1047 0.1047 0.0000 Se
0.3953 0.3953 0.0000 Se
0.2500 0.7500 0.5000 W
```

Summary:
- energy (eV for the cell shown) = -21.6
- spin magnetization (μB/f.u.) = 0.89
- calculated density (Mg/m³) = 5.9


Record 11
DFT (PBE) results for an optimized crystal structure of MgW2Se.

```
MgW2Se
1.0
-3.6748 0.7749 -0.5740
-0.8777 -1.7502 3.2559
-1.2307 8.0975 6.2376
Mg Se W
2 2 4
direct
0.5000 0.5000 0.0000 Mg
0.2500 0.7500 0.5000 Mg
0.0000 0.0000 0.0000 Se
0.7500 0.2500 0.5000 Se
0.6237 0.1250 0.2500 W
0.1263 0.6250 0.2500 W
0.3750 0.3763 0.7500 W
0.8750 0.8737 0.7500 W
```

Summary:
- spin magnetization (μB/f.u.) = 0.00
- excess energy over the best structure of this formula in the dataset (meV/atom) = 397
- calculated density (Mg/m³) = 10.9


Record 12
DFT (PBE) results for an optimized crystal structure of MgWSe2.

```
MgWSe2
1.0
-2.3951 -2.4487 5.9042
-2.3819 -5.8782 2.5231
4.6189 3.6177 -3.4886
Mg Se W
1 2 1
direct
0.7064 0.2064 0.5000 Mg
0.0405 0.0405 0.0000 Se
0.2995 0.7995 0.5000 Se
0.4536 0.4536 0.0000 W
```

Summary:
- energy (eV for the cell shown) = -22.2
- spin magnetization (μB/f.u.) = 0.00
- calculated density (Mg/m³) = 8.2


Record 13
DFT (PBE) results for an optimized crystal structure of MgWSe2.

```
MgWSe2
1.0
3.2683 0.0000 0.0000
0.0000 3.3191 -0.0147
0.0000 0.0386 7.2756
Mg Se W
1 2 1
direct
0.5000 0.7500 0.7500 Mg
0.0000 0.2506 0.9837 Se
0.0000 0.2494 0.5163 Se
0.5000 0.2500 0.2500 W
```

Summary:
- energy (eV for the cell shown) = -21.3
- spin magnetization (μB/f.u.) = 0.00
- calculated density (Mg/m³) = 7.7


Record 14
DFT (PBE) results for an optimized crystal structure of Mg2WSe.

```
Mg2WSe
1.0
4.5899 0.0000 0.0000
0.0000 2.9423 -0.0235
0.0000 2.5555 5.3993
Mg Se W
2 1 1
direct
0.0000 0.1242 0.9889 Mg
0.0000 0.3758 0.5111 Mg
0.5000 0.2500 0.2500 Se
0.5000 0.7500 0.7500 W
```

Summary:
- energy (eV for the cell shown) = -17.9
- spin magnetization (μB/f.u.) = 0.00
- calculated density (Mg/m³) = 7.1


Record 15
DFT (PBE) results for an optimized crystal structure of MgW2Se.

```
MgW2Se
1.0
5.5195 -0.0019 0.0000
2.9135 4.6879 0.0000
-4.2165 -2.3430 2.6826
Mg Se W
1 1 2
direct
0.2500 0.7500 0.5000 Mg
0.7500 0.2500 0.5000 Se
0.0000 0.0000 0.0000 W
0.5000 0.5000 0.0000 W
```

Summary:
- spin magnetization (μB/f.u.) = 0.00
- excess energy over the best structure of this formula in the dataset (meV/atom) = 446
- calculated density (Mg/m³) = 11.3


Record 16
DFT (PBE) results for an optimized crystal structure of Mg2WSe.

```
Mg2WSe
1.0
5.1918 0.0618 -0.0027
-2.2642 4.6725 -0.0027
0.0011 0.0017 2.9465
Mg Se W
2 1 1
direct
0.0000 0.0000 0.0000 Mg
0.5000 0.5000 0.0000 Mg
0.5000 0.0000 0.5000 Se
0.0000 0.5000 0.5000 W
```

Summary:
- energy (eV for the cell shown) = -18.4
- spin magnetization (μB/f.u.) = 0.00
- calculated density (Mg/m³) = 7.2


Record 17
DFT (PBE) results for an optimized crystal structure of Mg2WSe.

```
Mg2WSe
1.0
5.2797 -0.0061 0.0000
2.2311 4.7852 0.0000
-3.7554 -2.3896 2.8395
Mg Se W
2 1 1
direct
0.0000 0.0000 0.0000 Mg
0.2500 0.7500 0.5000 Mg
0.5000 0.5000 0.0000 Se
0.7500 0.2500 0.5000 W
```

Summary:
- energy (eV for the cell shown) = -17.9
- spin magnetization (μB/f.u.) = 0.00
- calculated density (Mg/m³) = 7.2


Record 18
DFT (PBE) results for an optimized crystal structure of Mg2WSe.

```
Mg2WSe
1.0
7.7136 0.0000 0.0000
0.0000 7.7136 0.0000
3.8568 3.8568 2.5958
Mg Se W
4 2 2
direct
0.5956 0.1250 0.2500 Mg
0.1544 0.6250 0.2500 Mg
0.3750 0.4044 0.7500 Mg
0.8750 0.8456 0.7500 Mg
0.5000 0.5000 0.0000 Se
0.2500 0.7500 0.5000 Se
0.0000 0.0000 0.0000 W
0.7500 0.2500 0.5000 W
```

Summary:
- energy (eV for the cell shown) = -34.3
- spin magnetization (μB/f.u.) = 0.00
- calculated density (Mg/m³) = 6.7


Record 19
DFT (PBE) results for an optimized crystal structure of MgW4Se8.

```
MgW4Se8
1.0
-2.9199 5.9361 0.8355
1.5897 -2.1009 -6.1254
-5.2042 -6.4250 0.8530
Mg W Se
1 4 8
direct
0.0000 0.5000 0.5000 Mg
0.0000 0.0000 0.0000 W
0.0000 0.5000 0.0000 W
0.5000 0.5000 0.0000 W
0.5000 0.0000 0.0000 W
0.4881 0.7440 0.2321 Se
0.5119 0.2560 0.7679 Se
0.4895 0.2447 0.2338 Se
0.0109 0.2557 0.7662 Se
0.5105 0.7553 0.7662 Se
0.0109 0.7553 0.7662 Se
0.9891 0.2447 0.2338 Se
0.9891 0.7443 0.2338 Se
```

Summary:
- energy (eV for the cell shown) = -85.0
- spin magnetization (μB/f.u.) = 0.00
- calculated density (Mg/m³) = 8.1


Record 20
DFT (PBE) results for an optimized crystal structure of MgWSe2.

```
MgWSe2
1.0
-0.7541 -1.9938 3.6519
0.3179 -4.0418 1.2013
5.4108 0.0385 2.3348
Mg Se W
1 2 1
direct
0.7500 0.7500 0.7500 Mg
0.9824 0.9824 0.0300 Se
0.5176 0.5176 0.4700 Se
0.2500 0.2500 0.2500 W
```

Summary:
- energy (eV for the cell shown) = -21.8
- spin magnetization (μB/f.u.) = 0.00
- calculated density (Mg/m³) = 8.0